Entry 1:
Compound: PmSc12Tl3
Source: Alexandria
Functional: PBE
Structure: relaxed

Lattice parameters (Å, degrees): 4.5573 4.5571 18.5653 90.00 90.00 90.00
Closest atoms and distances in Å follow each position.
Element x y z (fractional)
1 Sc 0.5000 0.5000 0.5000  8 Sc 3.21, 4 Tl 3.22
2 Sc 0.5000 0.0000 0.3783  8 Sc 3.19-3.22, 4 Tl 3.20-3.21
3 Sc 0.5000 0.5000 0.0000  4 Pm 3.22, 8 Sc 3.36
4 Sc 0.0000 0.5000 0.1333  8 Sc 3.22-3.36, 2 Tl 3.23, 2 Pm 3.36
5 Tl 0.0000 0.0000 0.7431  12 Sc 3.20-3.23
6 Sc 0.0000 0.5000 0.3783  8 Sc 3.19-3.22, 4 Tl 3.20-3.21
7 Tl 0.0000 0.0000 0.5000  12 Sc 3.21-3.22
8 Sc 0.5000 0.0000 0.1333  8 Sc 3.22-3.36, 2 Tl 3.23, 2 Pm 3.36
9 Tl 0.0000 0.0000 0.2569  12 Sc 3.20-3.23
10 Sc 0.0000 0.5000 0.8667  8 Sc 3.22-3.36, 2 Tl 3.23, 2 Pm 3.36
11 Sc 0.5000 0.0000 0.6217  8 Sc 3.19-3.22, 4 Tl 3.20-3.21
12 Sc 0.0000 0.5000 0.6217  8 Sc 3.19-3.22, 4 Tl 3.20-3.21
13 Pm 0.0000 0.0000 0.0000  12 Sc 3.22-3.36
14 Sc 0.5000 0.5000 0.7421  8 Sc 3.19-3.25, 4 Tl 3.22
15 Sc 0.5000 0.5000 0.2579  8 Sc 3.19-3.25, 4 Tl 3.22
16 Sc 0.5000 0.0000 0.8667  8 Sc 3.22-3.36, 2 Tl 3.23, 2 Pm 3.36

Final energy, eV per atom: -5.6090


Entry 2:
Compound: PmScTl
Source: Alexandria
Functional: PBE
Structure: relaxed

Lattice parameters (Å, degrees): 4.5210 6.8417 6.8417 107.02 70.71 70.71
Closest atoms and distances in Å follow each position.
Element x y z (fractional)
1 Sc 0.0000 0.8734 0.1266  1 Sc 2.79, 4 Tl 3.12
2 Tl 0.2590 0.2410 0.2410  4 Sc 3.12, 1 Tl 3.26, 4 Pm 3.33
3 Tl 0.7410 0.7590 0.7590  4 Sc 3.12, 1 Tl 3.26, 4 Pm 3.33
4 Pm 0.5000 0.6555 0.3445  4 Sc 3.29-3.40, 4 Tl 3.33, 1 Pm 3.42
5 Pm 0.5000 0.3445 0.6555  4 Sc 3.29-3.40, 4 Tl 3.33, 1 Pm 3.42
6 Sc 0.0000 0.1266 0.8734  1 Sc 2.79, 4 Tl 3.12

Final energy, eV per atom: -4.5096


Entry 3:
Compound: Pm5Sc4Tl4
Source: Alexandria
Functional: PBE
Structure: relaxed

Lattice parameters (Å, degrees): 4.7698 9.1876 9.1876 86.14 74.95 74.95
Closest atoms and distances in Å follow each position.
Element x y z (fractional)
1 Pm 0.6174 0.6843 0.0809  5 Tl 3.29-3.46, 3 Sc 3.60-3.67
2 Pm 0.3826 0.3157 0.9191  5 Tl 3.29-3.46, 3 Sc 3.60-3.67
3 Tl 0.2493 0.6755 0.8259  3 Sc 3.01-3.09, 4 Pm 3.27-3.30
4 Tl 0.9248 0.8259 0.3245  3 Sc 3.01-3.09, 4 Pm 3.27-3.30
5 Tl 0.0752 0.1741 0.6755  3 Sc 3.01-3.09, 4 Pm 3.27-3.30
6 Pm 0.6983 0.9191 0.6843  5 Tl 3.29-3.46, 3 Sc 3.60-3.67
7 Sc 0.0947 0.4862 0.3244  3 Tl 3.01-3.09, 5 Sc 3.13-3.25
8 Sc 0.4191 0.6756 0.4862  3 Tl 3.01-3.09, 5 Sc 3.13-3.25
9 Sc 0.5809 0.3244 0.5138  3 Tl 3.01-3.09, 5 Sc 3.13-3.25
10 Sc 0.9053 0.5138 0.6756  3 Tl 3.01-3.09, 5 Sc 3.13-3.25
11 Pm 0.3017 0.0809 0.3157  5 Tl 3.29-3.46, 3 Sc 3.60-3.67
12 Pm 0.0000 0.0000 0.0000  4 Tl 3.27
13 Tl 0.7507 0.3245 0.1741  3 Sc 3.01-3.09, 4 Pm 3.27-3.30

Final energy, eV per atom: -4.7465


Entry 4:
Compound: Pm3ScTl2
Source: Alexandria
Functional: PBE
Structure: relaxed

Lattice parameters (Å, degrees): 9.0290 9.0290 9.0290 150.42 149.89 42.72
Closest atoms and distances in Å follow each position.
Element x y z (fractional)
1 Tl 0.8662 0.3662 0.5000  7 Pm 3.21-3.36, 2 Sc 3.22
2 Sc 0.0000 0.0000 0.0000  4 Tl 3.22, 4 Pm 3.29
3 Pm 0.6754 0.1754 0.5000  5 Tl 3.21-3.36
4 Tl 0.1338 0.6338 0.5000  7 Pm 3.21-3.36, 2 Sc 3.22
5 Pm 0.3246 0.8246 0.5000  5 Tl 3.21-3.36
6 Pm 0.5000 0.5000 0.0000  4 Tl 3.25, 4 Sc 3.29

Final energy, eV per atom: -4.4675


Entry 5:
Compound: Pm6ScTl2
Source: Alexandria
Functional: PBE
Structure: relaxed

Lattice parameters (Å, degrees): 7.3916 7.3916 10.4287 90.00 90.00 90.00
Closest atoms and distances in Å follow each position.
Element x y z (fractional)
1 Pm 0.2337 0.7662 0.5000  1 Sc 2.78
2 Pm 0.5000 0.5000 0.7669  1 Sc 2.78
3 Pm 0.5000 0.5000 0.2331  1 Sc 2.78
4 Tl 0.5000 0.0000 0.2500  12 Pm 3.70
5 Tl 0.5000 0.0000 0.7500  12 Pm 3.70
6 Tl 0.0000 0.5000 0.2500  12 Pm 3.70
7 Tl 0.0000 0.5000 0.7500  12 Pm 3.70
8 Pm 0.0000 0.0000 0.7331  1 Sc 2.78
9 Pm 0.2662 0.7337 0.0000  1 Sc 2.78
10 Pm 0.2663 0.2662 0.0000  1 Sc 2.78
11 Pm 0.7663 0.2338 0.5000  1 Sc 2.78
12 Pm 0.2338 0.2337 0.5000  1 Sc 2.78
13 Pm 0.0000 0.0000 0.2669  1 Sc 2.78
14 Pm 0.7338 0.2663 0.0000  1 Sc 2.78
15 Pm 0.7662 0.7663 0.5000  1 Sc 2.78
16 Sc 0.0000 0.0000 0.0000  6 Pm 2.78
17 Sc 0.5000 0.5000 0.5000  6 Pm 2.78
18 Pm 0.7337 0.7338 0.0000  1 Sc 2.78

Final energy, eV per atom: -4.1992


Entry 6:
Compound: Pm5ScTl6
Source: Alexandria
Functional: PBE
Structure: relaxed

Lattice parameters (Å, degrees): 5.4353 9.3924 9.4007 60.03 73.15 54.52
Closest atoms and distances in Å follow each position.
Element x y z (fractional)
1 Pm 0.5000 0.1733 0.6535  8 Tl 3.28-3.36
2 Tl 0.2395 0.9209 0.6789  1 Sc 3.19, 7 Pm 3.28-3.39
3 Tl 0.7605 0.4002 0.6789  1 Sc 3.19, 7 Pm 3.28-3.39
4 Tl 0.2395 0.5998 0.3211  1 Sc 3.19, 7 Pm 3.28-3.39
5 Pm 0.0000 0.6641 0.6719  8 Tl 3.37-3.39
6 Tl 0.7605 0.0791 0.3211  1 Sc 3.19, 7 Pm 3.28-3.39
7 Tl 0.7305 0.7685 0.0000  2 Sc 3.24-3.25, 6 Pm 3.33-3.41, 1 Tl 3.54
8 Tl 0.2695 0.2315 0.0000  2 Sc 3.24-3.25, 6 Pm 3.33-3.41, 1 Tl 3.54
9 Pm 0.5000 0.8267 0.3465  8 Tl 3.28-3.36
10 Pm 0.0000 0.3359 0.3281  8 Tl 3.37-3.39
11 Sc 0.0000 0.0000 0.0000  8 Tl 3.19-3.25
12 Pm 0.5000 0.5000 0.0000  8 Tl 3.29-3.41

Final energy, eV per atom: -4.0476